This record from Alexandria via LeMat-Bulk describes crystalline CsPmCr2Cl8 at its relaxed geometry. The functional is PBE.

Formation energy from raw total energies = -1.52 eV/atom
Symmetry = P-1, No. 2

a b c (Å): 6.779 6.991 9.575
angles (deg): 73.95 73.61 67.56
Positions (direct):
Cs1 0.000 0.000 0.000
Pm1 0.000 0.000 0.500
Cr1 0.425 0.425 0.197
Cr2 0.575 0.575 0.803
Cl1 0.113 0.349 0.348
Cl2 0.285 0.783 0.287
Cl3 0.287 0.475 0.978
Cl4 0.325 0.858 0.660
Cl5 0.675 0.142 0.340
Cl6 0.713 0.525 0.022
Cl7 0.715 0.217 0.713
Cl8 0.887 0.651 0.652

---

This record from Alexandria via LeMat-Bulk describes crystalline WBr2 at its relaxed geometry. The functional is PBE.

Formation energy from raw total energies = 0.76 eV/atom
Symmetry = Fm-3m, No. 225
ΔE to the lowest computed polymorph = 1.223 eV per atom

a b c (Å): 6.293 6.293 6.293
angles (deg): 90.00 90.00 90.00
Positions (direct):
W1 0.000 0.000 0.000
W2 0.000 0.500 0.500
W3 0.500 0.000 0.500
W4 0.500 0.500 0.000
Br1 0.250 0.250 0.250
Br2 0.250 0.250 0.750
Br3 0.250 0.750 0.250
Br4 0.250 0.750 0.750
Br5 0.750 0.250 0.250
Br6 0.750 0.250 0.750
Br7 0.750 0.750 0.250
Br8 0.750 0.750 0.750

---

This record from Alexandria via LeMat-Bulk describes crystalline Ti2CrOs at its relaxed geometry. The functional is PBE.

Calculated formation energy = 1.416 eV/f.u.
Symmetry = I-42d, No. 122
N(E_F) = 15.57 states/eV per cell

a b c (Å): 6.853 6.853 5.241
angles (deg): 90.00 90.00 90.00
Positions (direct):
Ti1 0.250 0.250 0.375
Ti2 0.250 0.250 0.875
Ti3 0.250 0.750 0.125
Ti4 0.250 0.750 0.625
Ti5 0.750 0.250 0.125
Ti6 0.750 0.250 0.625
Ti7 0.750 0.750 0.375
Ti8 0.750 0.750 0.875
Cr1 0.000 0.000 0.000
Cr2 0.000 0.500 0.250
Cr3 0.500 0.000 0.750
Cr4 0.500 0.500 0.500
Os1 0.000 0.000 0.500
Os2 0.000 0.500 0.750
Os3 0.500 0.000 0.250
Os4 0.500 0.500 0.000

---

This record from Alexandria via LeMat-Bulk describes crystalline Sm3GaAu2 at its relaxed geometry. The functional is PBE.

Calculated formation energy = -4.306 eV/f.u.
Symmetry = P4/mmm, No. 123
N(E_F) = 4.26 states/eV per cell

a b c (Å): 3.651 3.651 11.104
angles (deg): 90.00 90.00 90.00
Positions (direct):
Sm1 0.000 0.000 0.000
Sm2 0.000 0.000 0.335
Sm3 0.000 0.000 0.665
Ga1 0.500 0.500 0.500
Au1 0.500 0.500 0.170
Au2 0.500 0.500 0.830

---

This record from Alexandria via LeMat-Bulk describes crystalline NdAl5Pd3 at its relaxed geometry. The functional is PBE.

Calculated formation energy = -6.382 eV/f.u.
Symmetry = Cmcm, No. 63
N(E_F) = 6.56 states/eV per cell

a b c (Å): 6.775 6.775 12.610
angles (deg): 90.00 90.00 144.76
Positions (direct):
Nd1 0.165 0.835 0.750
Nd2 0.835 0.165 0.250
Al1 0.000 0.000 0.000
Al2 0.000 0.000 0.500
Al3 0.201 0.799 0.063
Al4 0.201 0.799 0.437
Al5 0.442 0.558 0.649
Al6 0.442 0.558 0.851
Al7 0.558 0.442 0.149
Al8 0.558 0.442 0.351
Al9 0.799 0.201 0.563
Al10 0.799 0.201 0.937
Pd1 0.126 0.874 0.250
Pd2 0.390 0.610 0.044
Pd3 0.390 0.610 0.456
Pd4 0.610 0.390 0.544
Pd5 0.610 0.390 0.956
Pd6 0.874 0.126 0.750

---

This record from Alexandria via LeMat-Bulk describes crystalline NaMnAsAu at its relaxed geometry. The functional is PBE.

Calculated formation energy = -1.025 eV/f.u.
Symmetry = P4/nmm, No. 129
N(E_F) = 4.18 states/eV per cell

a b c (Å): 3.849 3.849 10.787
angles (deg): 90.00 90.00 90.00
Positions (direct):
Na1 0.250 0.250 0.229
Na2 0.750 0.750 0.771
Mn1 0.250 0.750 0.500
Mn2 0.750 0.250 0.500
As1 0.250 0.250 0.633
As2 0.750 0.750 0.367
Au1 0.250 0.750 0.000
Au2 0.750 0.250 0.000